1.
VASP calculation (PBE) on crystalline Rb2HfVBr6 at its relaxed geometry.

It has space group I4/mmm (No. 139), with a = 7.6767 Å, b = 7.6767 Å, c = 10.8465 Å, α = 90.00°, β = 90.00° and γ = 90.00°. The inequivalent atoms are Rb at (0.0000, 0.5000, 0.2500), Hf at (0.0000, 0.0000, 0.0000), V at (0.0000, 0.0000, 0.5000), Br at (0.0000, 0.0000, 0.2480) and Br at (0.2478, 0.2478, 0.0000).

The calculation puts the magnetic moment at 8.324 Bohr magnetons per cell. The calculation puts the final energy at -4.183 eV/atom.

2.
VASP calculation (PBE) on crystalline Rb2HfWBr6 at its relaxed geometry.

It has space group Fm-3m (No. 225), with a = 10.5875 Å, b = 10.5875 Å, c = 10.5875 Å, α = 90.00°, β = 90.00° and γ = 90.00°. The inequivalent atoms are Rb at (0.2500, 0.2500, 0.2500), Hf at (0.0000, 0.0000, 0.0000), W at (0.0000, 0.0000, 0.5000) and Br at (0.0000, 0.0000, 0.2519).

The calculation puts the magnetic moment at 0.000 Bohr magnetons per cell. The calculation puts the final energy at -4.149 eV/atom.

3.
VASP calculation (PBE) on crystalline Rb2YHfBr6 at its relaxed geometry.

It has space group Fm-3m (No. 225), with a = 11.0432 Å, b = 11.0432 Å, c = 11.0432 Å, α = 90.00°, β = 90.00° and γ = 90.00°. The inequivalent atoms are Rb at (0.2500, 0.2500, 0.2500), Y at (0.0000, 0.0000, 0.0000), Hf at (0.0000, 0.0000, 0.5000) and Br at (0.0000, 0.0000, 0.2560).

The calculation puts the magnetic moment at 4.657 Bohr magnetons per cell. The calculation puts the final energy at -4.140 eV/atom.

4.
VASP calculation (PBE) on crystalline Rb2HfZnBr6 at its relaxed geometry.

It has space group Fm-3m (No. 225), with a = 11.7818 Å, b = 11.7818 Å, c = 11.7818 Å, α = 90.00°, β = 90.00° and γ = 90.00°. The inequivalent atoms are Rb at (0.2500, 0.2500, 0.2500), Hf at (0.0000, 0.0000, 0.0000), Zn at (0.0000, 0.0000, 0.5000) and Br at (0.0000, 0.0000, 0.2231).

The calculation puts the magnetic moment at 0.000 Bohr magnetons per cell. The calculation puts the final energy at -3.617 eV/atom.

5.
VASP calculation (PBE) on crystalline RbHf2ZnBr at its relaxed geometry.

It has space group P4/mmm (No. 123), with a = 5.0589 Å, b = 5.0589 Å, c = 6.3670 Å, α = 90.00°, β = 90.00° and γ = 90.00°. The inequivalent atoms are Rb at (0.0000, 0.0000, 0.0000), Hf at (0.0000, 0.5000, 0.5000), Zn at (0.5000, 0.5000, 0.0000) and Br at (0.5000, 0.5000, 0.5000).

The calculation puts the magnetic moment at 0.000 Bohr magnetons per cell. The calculation puts the final energy at -3.814 eV/atom.

6.
VASP calculation (PBE) on crystalline RbHfZrBr2 at its relaxed geometry.

It has space group P4/mmm (No. 123), with a = 5.7203 Å, b = 5.7203 Å, c = 5.2417 Å, α = 90.00°, β = 90.00° and γ = 90.00°. The inequivalent atoms are Rb at (0.0000, 0.0000, 0.0000), Hf at (0.5000, 0.5000, 0.0000), Zr at (0.5000, 0.5000, 0.5000) and Br at (0.0000, 0.5000, 0.5000).

The calculation puts the magnetic moment at 0.000 Bohr magnetons per cell. The calculation puts the final energy at -4.519 eV/atom.